Tb2Pr2Se5: relaxed, PBE.

## Properties
uncorrected formation energy: -1.775 eV per atom
energy: -5.80 eV per atom
magnetic moment: 0.00 μB/cell

a b c (Å): 14.944 7.851 7.804
angles (deg): 90.00 90.00 90.00
Space group Cmce (No. 64)
Asymmetric unit:
Tb (0.000, 0.151, 0.157) x8
Pr (0.198, 0.000, 0.500) x8
Se (0.000, 0.000, 0.500) x4
Se (0.134, 0.158, 0.846) x16